The following is a DFT calculation (PBE-GGA) of a geometry-optimized KWSe4 structure.

## Properties
Magnetization in μB/f.u.: 4.85
Energy relative to the elements, uncorrected in eV/atom: 0.92
V in Å³ per atom: 23.83

a b c (Å): 5.8691 5.8691 5.8691
angles (deg): 60.00 60.00 60.00
Closest atoms and distances in Å follow each position.
Fractional positions:
K1 0.0000 0.0000 0.0000  12 Se 3.45, 4 W 3.59
Se1 0.3767 0.3767 0.3767  6 Se 2.89-2.98
Se2 0.8698 0.3767 0.3767  6 Se 2.89-2.98
W1 0.7500 0.7500 0.7500  12 Se 3.44, 4 K 3.59
Se3 0.3767 0.3767 0.8698  6 Se 2.89-2.98
Se4 0.3767 0.8698 0.3767  6 Se 2.89-2.98